# 1
This record from Alexandria via LeMat-Bulk describes an optimized crystal structure of ScHIrPd2. The functional is GGA-PBE.

Unit cell a=3.9224 b=3.9224 c=4.2642 alpha=90.00 beta=90.00 gamma=90.00
With the nearest neighbours (Å) after each atom.
Space group P4/mmm (No. 123)
Asymmetric unit:
Sc 0.0000 0.0000 0.0000  2 H 2.13
H 0.0000 0.0000 0.5000  4 Pd 1.96, 2 Sc 2.13
Ir 0.5000 0.5000 0.0000  4 Sc 2.77, 8 Pd 2.90
Pd 0.0000 0.5000 0.5000  2 H 1.96

Properties
- DOS at the Fermi energy (states/eV/cell) = 4.3
- crystal system = tetragonal
- VASP energy (hartree per atom) = -0.2309

---

# 2
This record from Alexandria via LeMat-Bulk describes an optimized crystal structure of Sc2HIrPd. The functional is GGA-PBE.

Unit cell a=4.5387 b=4.5387 c=3.5660 alpha=90.00 beta=90.00 gamma=90.00
With the nearest neighbours (Å) after each atom.
Space group P4/mmm (No. 123)
Asymmetric unit:
Sc 0.0000 0.5000 0.0000  2 H 2.27
H 0.0000 0.0000 0.0000  2 Ir 1.78
Ir 0.0000 0.0000 0.5000  2 H 1.78
Pd 0.5000 0.5000 0.5000  8 Sc 2.89, 4 Ir 3.21

Properties
- DOS at the Fermi energy (states/eV/cell) = 3.0
- crystal system = tetragonal
- VASP energy (hartree per atom) = -0.2493

---

# 3
This record from Alexandria via LeMat-Bulk describes an optimized crystal structure of SmH8Ir2Pd. The functional is GGA-PBE.

Unit cell a=4.8119 b=4.8119 c=16.2351 alpha=90.00 beta=90.00 gamma=120.00
With the nearest neighbours (Å) after each atom.
Space group R-3 (No. 148, hexagonal axes)
Asymmetric unit:
Sm 0.0000 0.0000 0.0000  6 H 2.35
H 0.0000 0.0000 0.3167  1 Ir 1.64
H 0.0051 0.6981 0.1130  1 Ir 1.70, 1 Pd 1.88
Ir 0.0000 0.0000 0.2157  4 H 1.64-1.70
Pd 0.0000 0.0000 0.5000  6 H 1.88

Properties
- DOS at the Fermi energy (states/eV/cell) = 6.3
- crystal system = trigonal
- VASP energy (hartree per atom) = -0.1723

---

# 4
This record from Alexandria via LeMat-Bulk describes an optimized crystal structure of SmH6IrPd2. The functional is GGA-PBE.

Unit cell a=4.6176 b=4.6646 c=10.0497 alpha=90.00 beta=117.29 gamma=90.00
With the nearest neighbours (Å) after each atom.
Space group P2_1/c (No. 14)
Asymmetric unit:
Sm 0.0000 0.0000 0.0000  8 H 2.41-2.57
H 0.1216 0.1309 0.3648  1 Ir 1.76, 1 Pd 1.84
H 0.3924 0.6319 0.1354  1 Ir 1.76, 1 Pd 1.84
H 0.4143 0.6744 0.4136  1 Ir 1.70, 1 Pd 1.87
Ir 0.5000 0.0000 0.5000  6 H 1.70-1.76
Pd 0.2493 0.0749 0.7494  5 H 1.84-2.05

Properties
- DOS at the Fermi energy (states/eV/cell) = 1.1
- crystal system = monoclinic
- VASP energy (hartree per atom) = -0.1743

---

# 5
This record from Alexandria via LeMat-Bulk describes an optimized crystal structure of SnHIr2Pd. The functional is GGA-PBE.

Unit cell a=4.0697 b=4.0697 c=4.0152 alpha=90.00 beta=90.00 gamma=90.00
With the nearest neighbours (Å) after each atom.
Space group P4/mmm (No. 123)
Asymmetric unit:
Sn 0.0000 0.0000 0.0000  8 Ir 2.86, 4 Pd 2.88
H 0.5000 0.5000 0.5000  2 Pd 2.01, 4 Ir 2.03
Ir 0.0000 0.5000 0.5000  2 H 2.03
Pd 0.5000 0.5000 0.0000  2 H 2.01

Properties
- DOS at the Fermi energy (states/eV/cell) = 3.5
- crystal system = tetragonal
- VASP energy (hartree per atom) = -0.2241

---

# 6
This record from Alexandria via LeMat-Bulk describes an optimized crystal structure of SrHIrPd2. The functional is GGA-PBE.

Unit cell a=4.8058 b=4.8058 c=5.9455 alpha=90.00 beta=90.00 gamma=90.00
With the nearest neighbours (Å) after each atom.
Space group P4/mmm (No. 123)
Asymmetric unit:
Sr 0.0000 0.0000 0.0000  2 Ir 2.97
H 0.5000 0.5000 0.0000  4 Sr 3.40
Ir 0.0000 0.0000 0.5000  4 Pd 2.40
Pd 0.0000 0.5000 0.5000  2 Ir 2.40

Properties
- DOS at the Fermi energy (states/eV/cell) = 6.1
- crystal system = tetragonal
- VASP energy (hartree per atom) = -0.1481

---

# 7
This record from Alexandria via LeMat-Bulk describes an optimized crystal structure of Sr2HIrPd. The functional is GGA-PBE.

Unit cell a=5.3837 b=5.3837 c=3.5426 alpha=90.00 beta=90.00 gamma=90.00
With the nearest neighbours (Å) after each atom.
Space group P4/mmm (No. 123)
Asymmetric unit:
Sr 0.0000 0.5000 0.0000  2 H 2.69
H 0.0000 0.0000 0.0000  2 Ir 1.77
Ir 0.0000 0.0000 0.5000  2 H 1.77
Pd 0.5000 0.5000 0.5000  8 Sr 3.22, 2 Pd 3.54

Properties
- DOS at the Fermi energy (states/eV/cell) = 1.1
- crystal system = tetragonal
- VASP energy (hartree per atom) = -0.1654

---

# 8
This record from Alexandria via LeMat-Bulk describes an optimized crystal structure of SrHIrPd2. The functional is GGA-PBE.

Unit cell a=5.3433 b=5.3433 c=5.2748 alpha=90.00 beta=90.00 gamma=90.00
With the nearest neighbours (Å) after each atom.
Space group P4/mmm (No. 123)
Asymmetric unit:
Sr 0.0000 0.0000 0.0000  2 Ir 2.64, 4 Pd 2.67
H 0.5000 0.5000 0.5000  8 Pd 3.75, 4 Ir 3.78
Ir 0.0000 0.0000 0.5000  2 Sr 2.64
Pd 0.0000 0.5000 0.0000  2 Sr 2.67

Properties
- DOS at the Fermi energy (states/eV/cell) = 1.8
- crystal system = tetragonal
- VASP energy (hartree per atom) = -0.1039